Compound: YTlCrCl6
Source: Alexandria
Functional: GGA-PBE
Structure: optimized geometry

Unit cell a=6.982 b=11.367 c=7.171 alpha=90.00 beta=92.95 gamma=90.00
Space group C2 (No. 5)
Unique sites:
Y  0.000  0.000  0.000 x2
Tl  0.000  0.674  0.500 x2
Cr  0.000  0.341  0.000 x2
Cl  0.125  0.188  0.203 x4
Cl  0.174  0.487  0.184 x4
Cl  0.180  0.861  0.237 x4

Computed properties:
Formation energy without anion corrections ... -1.562 eV per atom